Li2ZrAlCl: optimized geometry, PBE-GGA. Values from VASP.

```
&SYSTEM
  ibrav = 0, nat = 5, ntyp = 4
/
ATOMIC_SPECIES
Li 6.94 Li.upf
Al 26.98 Al.upf
Zr 91.22 Zr.upf
Cl 35.45 Cl.upf
CELL_PARAMETERS angstrom
-1.738 1.037 5.264
-4.576 -0.493 -1.414
0.234 -5.514 1.163
ATOMIC_POSITIONS angstrom
Li 0.117 -2.757 0.582
Li -0.869 0.518 2.632
Al -3.040 -2.485 2.507
Zr 0.000 0.000 0.000
Cl -2.288 -0.246 -0.707
```

Values from the calculation:
Formation energy (no corrections), eV per atom: 0.565
Crystal system: tetragonal

---

NaZnBi2S: optimized geometry, PBE-GGA. Values from VASP.

```
&SYSTEM
  ibrav = 0, nat = 5, ntyp = 4
/
ATOMIC_SPECIES
S 32.06 S.upf
Na 22.99 Na.upf
Zn 65.41 Zn.upf
Bi 208.98 Bi.upf
CELL_PARAMETERS angstrom
-0.920 -4.259 2.981
-0.825 -2.982 -4.516
5.137 -1.209 -0.141
ATOMIC_POSITIONS angstrom
S 1.696 -4.225 -0.838
Na -0.413 -1.491 -2.258
Zn 0.000 0.000 0.000
Bi 2.569 -0.604 -0.070
Bi -0.460 -2.129 1.490
```

Values from the calculation:
Formation energy (no corrections), eV per atom: 0.402
Crystal system: tetragonal

---

BaFe2Pb: optimized geometry, PBE-GGA. Values from VASP.

```
&SYSTEM
  ibrav = 0, nat = 4, ntyp = 3
/
ATOMIC_SPECIES
Ba 137.33 Ba.upf
Fe 55.84 Fe.upf
Pb 207.20 Pb.upf
CELL_PARAMETERS angstrom
3.745 0.000 0.000
0.000 3.745 0.000
0.000 0.000 7.139
ATOMIC_POSITIONS angstrom
Ba 1.872 1.872 5.354
Fe 0.000 0.000 0.656
Fe 0.000 0.000 2.914
Pb 1.872 1.872 1.785
```

Values from the calculation:
DFT formation energy, eV/atom: 0.560
Energy relative to the lowest polymorph listed for this composition, eV per atom: 0.331
Crystal system: tetragonal

---

Mg2MoRh: optimized geometry, PBE-GGA. Values from VASP.

```
&SYSTEM
  ibrav = 0, nat = 4, ntyp = 3
/
ATOMIC_SPECIES
Mg 24.30 Mg.upf
Mo 95.94 Mo.upf
Rh 102.91 Rh.upf
CELL_PARAMETERS angstrom
-2.099 -0.331 1.838
1.234 -2.316 1.004
4.110 4.581 5.517
ATOMIC_POSITIONS angstrom
Mg 4.019 4.480 5.396
Mg 2.145 2.391 2.880
Mo 0.595 -0.178 2.801
Rh 2.649 2.112 5.559
```

Values from the calculation:
DFT formation energy, eV/atom: 0.035
Energy relative to the lowest polymorph listed for this composition, eV per atom: 0.130
Crystal system: orthorhombic

---

Zr2TiCu: optimized geometry, PBE-GGA. Values from VASP.

```
&SYSTEM
  ibrav = 0, nat = 4, ntyp = 3
/
ATOMIC_SPECIES
Zr 91.22 Zr.upf
Cu 63.55 Cu.upf
Ti 47.87 Ti.upf
CELL_PARAMETERS angstrom
-2.097 2.886 -1.875
1.441 -1.423 -3.803
-3.386 -2.649 -0.292
ATOMIC_POSITIONS angstrom
Zr -1.693 -1.325 -0.146
Zr 0.721 -0.712 -1.901
Cu -2.021 -0.593 -2.985
Ti -1.049 1.443 -0.938
```

Values from the calculation:
DFT formation energy, eV/atom: 0.041
Crystal system: tetragonal

---

MgReHg2: optimized geometry, PBE-GGA. Values from VASP.

```
&SYSTEM
  ibrav = 0, nat = 4, ntyp = 3
/
ATOMIC_SPECIES
Hg 200.59 Hg.upf
Mg 24.30 Mg.upf
Re 186.21 Re.upf
CELL_PARAMETERS angstrom
-1.184 2.641 -0.247
-2.364 -1.174 -1.214
-3.814 -0.931 8.327
ATOMIC_POSITIONS angstrom
Hg -3.722 -0.909 8.126
Hg -2.787 0.486 1.480
Mg -1.989 -0.486 4.342
Re -4.586 0.047 5.408
```

Values from the calculation:
DFT formation energy, eV/atom: 0.469
Crystal system: tetragonal

---

TlCuRu3: optimized geometry, PBE-GGA. Values from VASP.

```
&SYSTEM
  ibrav = 0, nat = 5, ntyp = 3
/
ATOMIC_SPECIES
Ru 101.07 Ru.upf
Tl 204.38 Tl.upf
Cu 63.55 Cu.upf
CELL_PARAMETERS angstrom
4.558 0.000 0.000
0.000 4.558 0.000
0.000 0.000 4.558
ATOMIC_POSITIONS angstrom
Ru 0.000 2.279 0.000
Ru 0.000 0.000 2.279
Ru 2.279 0.000 0.000
Tl 2.279 2.279 2.279
Cu 0.000 0.000 0.000
```

Values from the calculation:
DFT formation energy, eV/atom: 1.462
Energy relative to the lowest polymorph listed for this composition, eV per atom: 0.000
Crystal system: cubic

---

In2NiSb: optimized geometry, PBE-GGA. Values from VASP.

```
&SYSTEM
  ibrav = 0, nat = 4, ntyp = 3
/
ATOMIC_SPECIES
In 114.82 In.upf
Ni 58.69 Ni.upf
Sb 121.76 Sb.upf
CELL_PARAMETERS angstrom
3.179 0.000 0.000
0.000 3.172 0.000
0.000 0.000 8.559
ATOMIC_POSITIONS angstrom
In 0.000 0.000 0.532
In 0.000 0.000 3.747
Ni 1.589 1.586 2.140
Sb 1.589 1.586 6.419
```

Values from the calculation:
Formation energy (no corrections), eV per atom: 0.084
Crystal system: tetragonal

---

Al2V4Ga: optimized geometry, PBE-GGA. Values from VASP.

```
&SYSTEM
  ibrav = 0, nat = 7, ntyp = 3
/
ATOMIC_SPECIES
Al 26.98 Al.upf
Ga 69.72 Ga.upf
V 50.94 V.upf
CELL_PARAMETERS angstrom
-0.566 2.876 -3.417
-1.406 -3.384 -2.615
-7.144 0.818 -1.093
ATOMIC_POSITIONS angstrom
Al -2.378 -0.012 -2.581
Al -6.737 0.322 -4.544
Ga 0.000 0.000 0.000
V -4.853 0.419 -1.808
V -4.262 -0.109 -5.317
V -0.703 -1.692 -1.308
V -0.283 1.438 -1.708
```

Values from the calculation:
DFT formation energy, eV/atom: 0.834
Crystal system: tetragonal

---

YSe2Br: optimized geometry, PBE-GGA. Values from VASP.

```
&SYSTEM
  ibrav = 0, nat = 4, ntyp = 3
/
ATOMIC_SPECIES
Y 88.91 Y.upf
Se 78.96 Se.upf
Br 79.90 Br.upf
CELL_PARAMETERS angstrom
2.494 0.000 8.097
-1.247 2.160 8.097
-1.247 -2.160 8.097
ATOMIC_POSITIONS angstrom
Y 0.000 0.000 12.146
Se 0.000 0.000 21.693
Se 0.000 0.000 2.598
Br 0.000 0.000 0.000
```

Values from the calculation:
Formation energy (no corrections), eV per atom: -1.119
Energy relative to the lowest polymorph listed for this composition, eV per atom: 0.144
Crystal system: trigonal

---

Pa5C4: optimized geometry, PBE-GGA. Values from VASP.

```
&SYSTEM
  ibrav = 0, nat = 9, ntyp = 2
/
ATOMIC_SPECIES
Pa 231.04 Pa.upf
C 12.01 C.upf
CELL_PARAMETERS angstrom
-1.034 -1.110 -2.842
2.913 -6.406 -0.384
-6.036 -3.248 1.639
ATOMIC_POSITIONS angstrom
Pa -1.629 -3.542 -1.675
Pa -2.528 -7.221 0.089
Pa 0.000 0.000 0.000
Pa 0.365 -5.507 0.192
Pa -3.488 -4.147 1.063
C -4.870 -2.981 -0.715
C 0.529 -2.339 -1.105
C -2.200 -1.376 -0.488
C 1.350 -5.176 -2.121
```

Values from the calculation:
DFT formation energy, eV/atom: 0.442
Crystal system: tetragonal

---

CaSc5Ga3: optimized geometry, PBE-GGA. Values from VASP.

```
&SYSTEM
  ibrav = 0, nat = 18, ntyp = 3
/
ATOMIC_SPECIES
Ca 40.08 Ca.upf
Sc 44.96 Sc.upf
Ga 69.72 Ga.upf
CELL_PARAMETERS angstrom
6.251 0.000 0.000
0.000 7.313 -4.222
0.000 0.000 8.444
ATOMIC_POSITIONS angstrom
Ca 0.000 0.000 0.000
Ca 3.126 0.000 0.000
Sc 0.000 4.876 0.000
Sc 3.126 2.438 4.222
Sc 0.000 2.438 4.222
Sc 3.126 4.876 0.000
Sc 4.688 4.852 2.802
Sc 4.688 7.313 -1.381
Sc 4.688 2.461 -1.421
Sc 1.563 2.461 1.420
Sc 1.563 0.000 5.603
Sc 1.563 4.853 -2.802
Ga 4.688 2.470 1.426
Ga 4.688 7.313 1.370
Ga 4.688 4.843 -2.796
Ga 1.563 4.843 2.796
Ga 1.563 0.000 2.852
Ga 1.563 2.470 -1.426
```

Values from the calculation:
DFT formation energy, eV/atom: -0.425
Crystal system: hexagonal

---

Y2MnPdN: optimized geometry, PBE-GGA. Values from VASP.

```
&SYSTEM
  ibrav = 0, nat = 5, ntyp = 4
/
ATOMIC_SPECIES
Y 88.91 Y.upf
Mn 54.94 Mn.upf
Pd 106.42 Pd.upf
N 14.01 N.upf
CELL_PARAMETERS angstrom
-1.705 -4.557 -0.756
-0.268 -0.494 3.582
-4.605 1.741 -0.104
ATOMIC_POSITIONS angstrom
Y -2.303 0.870 -0.052
Y -0.853 -2.279 -0.378
Mn -0.134 -0.247 1.791
Pd -3.289 -1.656 1.361
N 0.000 0.000 0.000
```

Values from the calculation:
Formation energy (no corrections), eV per atom: -0.863
Crystal system: tetragonal

---

BaTc3I: optimized geometry, PBE-GGA. Values from VASP.

```
&SYSTEM
  ibrav = 0, nat = 5, ntyp = 3
/
ATOMIC_SPECIES
I 126.90 I.upf
Ba 137.33 Ba.upf
Tc 98.00 Tc.upf
CELL_PARAMETERS angstrom
-3.782 0.333 3.245
0.778 -4.733 1.393
3.168 1.560 3.532
ATOMIC_POSITIONS angstrom
I 0.000 0.000 0.000
Ba 0.082 -1.420 4.085
Tc 0.389 -2.366 0.696
Tc 1.584 0.780 1.766
Tc -1.891 0.167 1.622
```

Values from the calculation:
Formation energy (no corrections), eV per atom: 1.547
Energy relative to the lowest polymorph listed for this composition, eV per atom: 0.000
Crystal system: cubic

---

U4H: optimized geometry, PBE-GGA. Values from VASP.

```
&SYSTEM
  ibrav = 0, nat = 5, ntyp = 2
/
ATOMIC_SPECIES
H 1.01 H.upf
U 238.03 U.upf
CELL_PARAMETERS angstrom
4.528 0.000 0.000
0.000 4.528 0.000
0.000 0.000 4.528
ATOMIC_POSITIONS angstrom
H 2.264 2.264 2.264
U 0.000 0.000 0.000
U 2.264 0.000 2.264
U 0.000 2.264 2.264
U 2.264 2.264 0.000
```

Values from the calculation:
Uncorrected energy, eV per atom: -9.372
Crystal system: cubic

---

KSmTe2: optimized geometry, PBE-GGA. Values from VASP.

```
&SYSTEM
  ibrav = 0, nat = 4, ntyp = 3
/
ATOMIC_SPECIES
K 39.10 K.upf
Te 127.60 Te.upf
Sm 150.36 Sm.upf
CELL_PARAMETERS angstrom
3.943 0.000 0.000
0.000 3.943 0.000
0.000 0.000 8.559
ATOMIC_POSITIONS angstrom
K 1.971 1.971 4.280
Te 0.000 0.000 6.735
Te 0.000 0.000 1.825
Sm 1.971 1.971 0.000
```

Values from the calculation:
Formation energy (no corrections), eV per atom: -1.209
Crystal system: tetragonal

---

Ca2Ti2O5: optimized geometry, PBE-GGA. Values from VASP.

```
&SYSTEM
  ibrav = 0, nat = 36, ntyp = 3
/
ATOMIC_SPECIES
Ca 40.08 Ca.upf
Ti 47.87 Ti.upf
O 16.00 O.upf
CELL_PARAMETERS angstrom
-2.448 -2.804 -6.799
-4.821 -4.621 3.642
-10.306 0.856 3.358
ATOMIC_POSITIONS angstrom
Ca -6.839 -4.084 -2.557
Ca -11.950 -3.607 -0.760
Ca -8.380 -0.223 0.920
Ca -3.238 -0.663 -0.789
Ca -14.338 -5.906 0.991
Ca -9.196 -6.346 -0.718
Ca -5.626 -2.962 0.961
Ca -10.736 -2.485 2.759
Ti -8.788 -3.285 0.101
Ti -3.635 -3.713 -1.578
Ti -1.224 -1.402 -3.399
Ti -6.377 -0.974 -1.720
Ti 0.000 0.000 0.000
Ti -5.153 0.428 1.679
Ti -7.564 -1.882 3.500
Ti -2.411 -2.311 1.821
O -10.951 -4.782 3.667
O -5.776 -5.185 2.049
O -4.606 -4.462 -3.171
O -9.735 -4.007 -1.427
O -7.841 -2.562 1.628
O -12.970 -2.107 3.373
O -11.800 -1.384 -1.847
O -6.625 -1.787 -3.466
O -8.927 -3.221 -3.974
O -9.201 -0.738 3.277
O -4.033 -1.251 1.640
O -12.492 -4.217 1.478
O -7.347 -4.553 -0.223
O -14.849 -4.120 2.947
O -2.727 -2.450 -2.746
O -10.229 -2.016 0.425
O -5.083 -2.352 -1.277
O -8.648 -3.348 4.176
O -13.543 -5.319 -1.438
O -8.374 -5.831 -3.075
```

Values from the calculation:
Formation energy (no corrections), eV per atom: -2.901
Energy relative to the lowest polymorph listed for this composition, eV per atom: 0.000
Crystal system: monoclinic

---

Cs3SmTh3Se8: optimized geometry, PBE-GGA. Values from VASP.

```
&SYSTEM
  ibrav = 0, nat = 15, ntyp = 4
/
ATOMIC_SPECIES
Cs 132.91 Cs.upf
Sm 150.36 Sm.upf
Th 232.04 Th.upf
Se 78.96 Se.upf
CELL_PARAMETERS angstrom
8.561 0.000 0.000
-4.281 7.415 -0.032
0.000 -4.910 8.629
ATOMIC_POSITIONS angstrom
Cs 0.000 0.000 0.000
Cs -2.140 3.707 -0.016
Cs 2.140 3.707 -0.016
Sm 0.000 -2.455 4.314
Th 4.281 -2.455 4.314
Th 2.140 1.252 4.298
Th -2.140 1.252 4.298
Se 0.000 2.479 2.615
Se 4.281 0.025 5.981
Se 4.281 2.463 2.662
Se 0.000 0.041 5.934
Se 6.408 -1.219 2.678
Se -2.127 3.724 5.918
Se 2.154 -1.219 2.678
Se 2.127 3.724 5.918
```

Values from the calculation:
Formation energy (no corrections), eV per atom: -1.636
Crystal system: trigonal

---

Pr2AgBi: optimized geometry, PBE-GGA. Values from VASP.

```
&SYSTEM
  ibrav = 0, nat = 4, ntyp = 3
/
ATOMIC_SPECIES
Pr 140.91 Pr.upf
Bi 208.98 Bi.upf
Ag 107.87 Ag.upf
CELL_PARAMETERS angstrom
-2.928 -2.511 -1.660
1.752 -4.011 2.976
-3.365 1.382 3.844
ATOMIC_POSITIONS angstrom
Pr -1.682 0.691 1.922
Pr 0.876 -2.005 1.488
Bi -2.270 -2.570 2.580
Ag -1.464 -1.255 -0.830
```

Values from the calculation:
DFT formation energy, eV/atom: -0.523
Crystal system: tetragonal

---

IrPtCl2: optimized geometry, PBE-GGA. Values from VASP.

```
&SYSTEM
  ibrav = 0, nat = 4, ntyp = 3
/
ATOMIC_SPECIES
Ir 192.22 Ir.upf
Pt 195.08 Pt.upf
Cl 35.45 Cl.upf
CELL_PARAMETERS angstrom
3.066 0.003 0.000
-1.710 2.545 0.000
0.000 0.000 8.652
ATOMIC_POSITIONS angstrom
Ir 0.678 1.274 2.163
Pt 0.678 1.274 6.489
Cl 0.000 0.000 0.214
Cl 0.000 0.000 4.112
```

Values from the calculation:
Formation energy (no corrections), eV per atom: 0.615
Energy relative to the lowest polymorph listed for this composition, eV per atom: 0.602
Crystal system: orthorhombic